DFT (PBE-GGA) results for a geometry-optimized NpVP3 structure.

* density of states at the Fermi level: 25.84 states/eV per cell
* density: 7.70 g/cm3
* magnetization: 3.86 μB per formula unit
* formation energy: -0.670 eV/atom
* crystal system: orthorhombic
* E: -166.55 eV for the cell shown

Structure (POSCAR):
```
NpVP3
1.0
11.7764 0.0000 0.0000
0.0000 5.2565 0.0000
0.0000 0.0000 5.3046
Np V P
4 4 12
direct
0.1857 0.0038 0.2500 Np
0.1857 0.4962 0.7500 Np
0.8143 0.5038 0.2500 Np
0.8143 0.9962 0.7500 Np
0.4215 0.7500 0.0000 V
0.4215 0.7500 0.5000 V
0.5785 0.2500 0.0000 V
0.5785 0.2500 0.5000 V
0.0011 0.7500 0.0000 P
0.0011 0.7500 0.5000 P
0.2838 0.0017 0.7500 P
0.2838 0.4983 0.2500 P
0.4194 0.1254 0.2500 P
0.4194 0.3746 0.7500 P
0.5806 0.6254 0.2500 P
0.5806 0.8746 0.7500 P
0.7162 0.5017 0.7500 P
0.7162 0.9983 0.2500 P
0.9989 0.2500 0.0000 P
0.9989 0.2500 0.5000 P
```



DFT (PBE-GGA) results for a geometry-optimized DyCd4Hg7 structure.

* density of states at the Fermi level: 5.02 states/eV per cell
* excess energy over the best structure of this formula in the dataset: 0 meV per atom
* density: 11.49 g/cm3
* magnetization: 0.00 μB per formula unit
* formation energy: -0.085 eV/atom
* crystal system: triclinic
* E: -11.40 eV for the cell shown

Structure (POSCAR):
```
DyCd4Hg7
1.0
5.4463 0.0000 0.0000
0.2134 6.4853 0.0000
0.8709 2.4959 8.2502
Dy Cd Hg
1 4 7
direct
0.0000 0.0000 0.0000 Dy
0.1817 0.5681 0.3361 Cd
0.3114 0.6996 0.6636 Cd
0.6886 0.3004 0.3364 Cd
0.8183 0.4319 0.6639 Cd
0.0000 0.5000 0.0000 Hg
0.1952 0.0777 0.3208 Hg
0.3101 0.2029 0.6500 Hg
0.4997 0.2561 0.9812 Hg
0.5003 0.7439 0.0188 Hg
0.6899 0.7971 0.3500 Hg
0.8048 0.9223 0.6792 Hg
```



DFT (PBE-GGA) results for a geometry-optimized Ba2AlGa4Si3 structure.

* density of states at the Fermi level: 3.70 states/eV per cell
* density: 4.88 g/cm3
* magnetization: 0.00 μB per formula unit
* crystal system: tetragonal
* formation energy without anion corrections: -0.25 eV per atom
* E: -38.46 eV for the cell shown

Structure (POSCAR):
```
Ba2AlGa4Si3
1.0
4.4979 0.0000 0.0000
0.0000 4.4979 0.0000
0.0000 0.0000 11.1903
Ba Al Ga Si
2 1 4 3
direct
0.0000 0.5000 0.2490 Ba
0.5000 0.0000 0.7510 Ba
0.0000 0.0000 0.5000 Al
0.0000 0.0000 0.0000 Ga
0.0000 0.5000 0.6270 Ga
0.5000 0.0000 0.3730 Ga
0.5000 0.5000 0.0000 Ga
0.0000 0.5000 0.8786 Si
0.5000 0.0000 0.1214 Si
0.5000 0.5000 0.5000 Si
```



DFT (PBE-GGA) results for a geometry-optimized KYSe structure.

* density of states at the Fermi level: 3.91 states/eV per cell
* excess energy over the best structure of this formula in the dataset: 0 meV per atom
* density: 3.07 g/cm3
* magnetization: 0.09 μB per formula unit
* crystal system: monoclinic
* formation energy without anion corrections: -1.11 eV per atom
* E: -28.72 eV for the cell shown

Structure (POSCAR):
```
KYSe
1.0
2.8339 -2.8343 0.0000
2.8339 2.8343 0.0000
-0.2115 0.0000 13.9180
K Y Se
2 2 2
direct
0.0000 0.0000 0.0000 K
0.5060 0.5060 0.2751 K
0.0010 0.0010 0.5550 Y
0.5075 0.5075 0.7201 Y
0.0093 0.0093 0.7638 Se
0.4991 0.4991 0.5113 Se
```



DFT (PBE-GGA) results for a geometry-optimized Be2P structure.

* density of states at the Fermi level: 1.22 states/eV per cell
* excess energy over the best structure of this formula in the dataset: 67 meV per atom
* density: 2.14 g/cm3
* magnetization: 0.00 μB per formula unit
* formation energy: -0.069 eV/atom
* crystal system: trigonal
* E: -26.14 eV for the cell shown

Structure (POSCAR):
```
Be2P
1.0
1.7553 1.0134 7.1196
-1.7553 1.0134 7.1196
0.0000 -2.0269 7.1196
Be P
4 2
direct
0.0000 0.0000 0.0000 Be
0.1079 0.1079 0.1079 Be
0.5301 0.5301 0.5301 Be
0.7211 0.7211 0.7211 Be
0.6279 0.6279 0.6279 P
0.8213 0.8213 0.8213 P
```



DFT (PBE-GGA) results for a geometry-optimized SmHo2Sc structure.

* density of states at the Fermi level: 6.80 states/eV per cell
* excess energy over the best structure of this formula in the dataset: 0 meV per atom
* density: 7.25 g/cm3
* magnetization: 0.00 μB per formula unit
* formation energy: 0.030 eV/atom
* crystal system: monoclinic
* E: -20.09 eV for the cell shown

Structure (POSCAR):
```
SmHo2Sc
1.0
3.0438 -1.7583 0.0000
3.0438 1.7583 0.0000
-2.0328 0.0000 11.2340
Sm Ho Sc
1 2 1
direct
0.0000 0.0000 0.0000 Sm
0.4193 0.4193 0.2637 Ho
0.5792 0.5792 0.7394 Ho
0.8332 0.8332 0.5030 Sc
```



DFT (PBE-GGA) results for a geometry-optimized Ge2Pb2Au5 structure.

* density of states at the Fermi level: 3.23 states/eV per cell
* density: 11.52 g/cm3
* magnetization: 0.00 μB per formula unit
* formation energy: 0.033 eV/atom
* crystal system: monoclinic
* E: -32.74 eV for the cell shown

Structure (POSCAR):
```
Ge2Pb2Au5
1.0
7.1419 -2.3329 0.0000
7.1419 2.3329 0.0000
-3.7790 0.0000 6.6811
Ge Pb Au
2 2 5
direct
0.1003 0.1003 0.2877 Ge
0.8997 0.8997 0.7123 Ge
0.3391 0.3391 0.2224 Pb
0.6609 0.6609 0.7776 Pb
0.1092 0.1092 0.9447 Au
0.3158 0.3158 0.5904 Au
0.5000 0.5000 0.0000 Au
0.6842 0.6842 0.4096 Au
0.8908 0.8908 0.0553 Au
```



DFT (PBE-GGA) results for a geometry-optimized CaTaTeO6 structure.

* density of states at the Fermi level: 8.97 states/eV per cell
* density: 5.77 g/cm3
* magnetization: 0.00 μB per formula unit
* crystal system: trigonal
* formation energy without anion corrections: -2.17 eV per atom
* E: -132.58 eV for the cell shown

Structure (POSCAR):
```
CaTaTeO6
1.0
5.4179 0.0000 0.0000
-2.7089 4.6920 0.0000
0.0000 0.0000 10.0756
Ca Ta Te O
2 2 2 12
direct
0.0000 0.0000 0.0000 Ca
0.0000 0.0000 0.5000 Ca
0.3333 0.6667 0.2500 Ta
0.6667 0.3333 0.7500 Ta
0.3333 0.6667 0.7500 Te
0.6667 0.3333 0.2500 Te
0.0062 0.3740 0.1402 O
0.0062 0.6321 0.3598 O
0.3679 0.3740 0.3598 O
0.3679 0.9938 0.1402 O
0.3740 0.0062 0.6402 O
0.3740 0.3679 0.8598 O
0.6260 0.6321 0.1402 O
0.6260 0.9938 0.3598 O
0.6321 0.0062 0.8598 O
0.6321 0.6260 0.6402 O
0.9938 0.3679 0.6402 O
0.9938 0.6260 0.8598 O
```